Material: NaAsIrO
Method: DFT, PBE
State: relaxed

Structure (CIF):
```
data_NaAsIrO
_cell_length_a 3.689
_cell_length_b 6.844
_cell_length_c 5.555
_cell_angle_alpha 90.00
_cell_angle_beta 90.00
_cell_angle_gamma 90.00
_symmetry_space_group_name_H-M 'P m c 21'
_symmetry_Int_Tables_number 26
loop_
_symmetry_equiv_pos_as_xyz
'x,y,z'
'-x,-y,z+1/2'
'-x,y,z'
'x,-y,z+1/2'
loop_
_atom_site_label
_atom_site_type_symbol
_atom_site_fract_x
_atom_site_fract_y
_atom_site_fract_z
_atom_site_occupancy
Na1 Na 0.000 0.116 0.000 1
As1 As 0.000 0.326 0.479 1
Ir1 Ir 0.500 0.494 0.703 1
O1 O 0.500 0.284 0.961 1
```

Energy relative to the lowest polymorph listed for this composition (eV/atom): 0.0000
Total magnetization (μB per atom): 0.0605
Mass density (g/cm³): 7.25
V (Å³ per cell): 140
Calculated total energy (eV/cell): -44.1